(1)
DFT (GGA-PBE) results for a relaxed Re2SiIr crystal.

The structure belongs to space group F-43m (No. 216); the cell edges are 6.1399, 6.1399 and 6.1399 Å and the angles 90.00°, 90.00° and 90.00°. The distinct sites, in fractional coordinates, are Re at (0.0000, 0.0000, 0.0000), Re at (0.2500, 0.2500, 0.2500), Si at (0.2500, 0.2500, 0.7500) and Ir at (0.0000, 0.0000, 0.5000).

The value obtained for the density of states at the Fermi level is 1.129 states/eV/atom. The density comes out at 17.0 g/cm3. For the uncorrected formation energy, the calculation gives 250.4 meV per atom.

---

(2)
DFT (GGA-PBE) results for a relaxed Re2SiIr crystal.

The structure belongs to space group I-42d (No. 122); the cell edges are 5.6031, 5.6031 and 10.7986 Å and the angles 90.00°, 90.00° and 90.00°. The distinct sites, in fractional coordinates, are Re at (0.2486, 0.2500, 0.1250), Si at (0.0000, 0.0000, 0.0000) and Ir at (0.0000, 0.0000, 0.5000).

The value obtained for the density of states at the Fermi level is 0.806 states/eV/atom. The density comes out at 11.6 g/cm3. For the uncorrected formation energy, the calculation gives 1046.5 meV per atom.

---

(3)
DFT (GGA-PBE) results for a relaxed Re2SiIr crystal.

The structure belongs to space group C2/m (No. 12); the cell edges are 9.0601, 2.7883 and 4.5970 Å and the angles 90.00°, 97.82° and 90.00°. The distinct sites, in fractional coordinates, are Re at (0.2437, 0.0000, 0.2504), Si at (0.0000, 0.0000, 0.5000) and Ir at (0.0000, 0.5000, 0.0000).

The value obtained for the density of states at the Fermi level is 0.604 states/eV/atom. The density comes out at 17.1 g/cm3. For the uncorrected formation energy, the calculation gives -17.2 meV per atom.